This record from Alexandria via LeMat-Bulk describes an optimized crystal structure of Tl3P. The functional is GGA-PBE.

Results
DOS at the Fermi energy = 1.68 states/eV per cell
DFT formation energy = 0.1421 eV/atom

a b c (Å): 4.0770 4.0770 8.2874
angles (deg): 90.00 90.00 120.00
Element x y z (fractional)
Tl1 0.6667 0.3333 0.1970
Tl2 0.0000 0.0000 0.5000
Tl3 0.6667 0.3333 0.8030
P1 0.0000 0.0000 0.0000